DFT (PBE+U) results for crystalline LaWIO4 at its relaxed geometry.

Properties
M_tot	0.0	μB/f.u.
DOS(E_F)	0.00	states/eV/f.u.
space-group type	C2/m (12)
total energy	-0.5215	Ry per atom

abc: 6.797 6.797 7.394
angles: 76.82 76.82 67.69
Fractional coordinates of all 14 atoms:
La 0.244 0.244 0.857
La 0.756 0.756 0.143
I 0.979 0.979 0.752
I 0.021 0.021 0.248
O 0.304 0.304 0.513
O 0.124 0.498 0.148
O 0.876 0.502 0.852
O 0.467 0.467 0.799
O 0.502 0.876 0.852
O 0.696 0.696 0.487
O 0.498 0.124 0.148
O 0.533 0.533 0.201
W 0.367 0.367 0.260
W 0.633 0.633 0.740